Material: TbPmBeCd
Method: DFT, PBE-GGA
State: optimized geometry

Values from the calculation:
DOS at the Fermi energy: 1.2440 states/eV/atom
Final energy: -0.2586 Ry per atom
Energy of formation from the pure elements: -0.1 eV per formula unit
Theoretical density: 7.23 Mg/m³

Cell lengths 5.1686, 5.1686, 5.1686 Å; angles 60.00, 60.00, 60.00 degrees
Closest atoms and distances in Å follow each position.
Sites, in units of the cell vectors:
Tb1 0.0000 0.0000 0.0000  4 Cd 3.17, 4 Be 3.17
Pm1 0.5000 0.5000 0.5000  4 Cd 3.17, 4 Be 3.17
Be1 0.7500 0.7500 0.7500  4 Tb 3.17, 4 Pm 3.17
Cd1 0.2500 0.2500 0.2500  4 Tb 3.17, 4 Pm 3.17